# 1
Computed, not measured: crystalline BaCdSeO at its relaxed geometry at the PBE level of DFT.

Summary:
The electronic total energy comes out at -4.370 eV per atom. The space group is Pca2_1 (29).

a b c (Å): 6.666 9.826 6.460
angles (deg): 90.00 90.00 90.00
Atoms (fractional coordinates):
Ba 0.002 0.181 0.000
Ba 0.498 0.181 0.500
Ba 0.502 0.819 0.000
Ba 0.998 0.819 0.500
Cd 0.090 0.577 0.936
Cd 0.410 0.577 0.436
Cd 0.590 0.423 0.936
Cd 0.910 0.423 0.436
Se 0.005 0.158 0.500
Se 0.495 0.158 0.000
Se 0.505 0.842 0.500
Se 0.995 0.842 0.000
O 0.104 0.573 0.585
O 0.396 0.573 0.085
O 0.604 0.427 0.585
O 0.896 0.427 0.085

=====

# 2
Computed, not measured: crystalline BaCdSeO at its relaxed geometry at the PBE level of DFT.

Summary:
The electronic total energy comes out at -4.144 eV per atom. The space group is P4/nmm (129).

a b c (Å): 4.988 4.988 8.311
angles (deg): 90.00 90.00 90.00
Atoms (fractional coordinates):
Ba 0.250 0.250 0.175
Ba 0.750 0.750 0.825
Cd 0.250 0.250 0.636
Cd 0.750 0.750 0.364
Se 0.250 0.750 0.500
Se 0.750 0.250 0.500
O 0.250 0.250 0.891
O 0.750 0.750 0.109

=====

# 3
Computed, not measured: crystalline BaCdSeO at its relaxed geometry at the PBE level of DFT.

Summary:
The electronic total energy comes out at -4.274 eV per atom. The space group is P4/nmm (129).

a b c (Å): 4.496 4.496 9.407
angles (deg): 90.00 90.00 90.00
Atoms (fractional coordinates):
Ba 0.250 0.250 0.207
Ba 0.750 0.750 0.793
Cd 0.250 0.250 0.574
Cd 0.750 0.750 0.426
Se 0.250 0.250 0.857
Se 0.750 0.750 0.143
O 0.250 0.750 0.500
O 0.750 0.250 0.500

=====

# 4
Computed, not measured: crystalline BaCdSeO at its relaxed geometry at the PBE level of DFT.

Summary:
The electronic total energy comes out at -4.431 eV per atom. The space group is Cmc2_1 (36).

a b c (Å): 4.331 14.843 6.606
angles (deg): 90.00 90.00 90.00
Atoms (fractional coordinates):
Ba 0.000 0.147 0.000
Ba 0.000 0.853 0.500
Ba 0.500 0.353 0.500
Ba 0.500 0.647 0.000
Cd 0.000 0.432 0.925
Cd 0.000 0.568 0.425
Cd 0.500 0.068 0.425
Cd 0.500 0.932 0.925
Se 0.000 0.172 0.503
Se 0.000 0.828 0.003
Se 0.500 0.328 0.003
Se 0.500 0.672 0.503
O 0.000 0.439 0.584
O 0.000 0.561 0.084
O 0.500 0.061 0.084
O 0.500 0.939 0.584

=====

# 5
Computed, not measured: crystalline BaCdSeO at its relaxed geometry at the PBE level of DFT.

Summary:
The electronic total energy comes out at -4.151 eV per atom. The space group is Cmc2_1 (36).

a b c (Å): 3.855 14.053 7.526
angles (deg): 90.00 90.00 90.00
Atoms (fractional coordinates):
Ba 0.000 0.063 0.000
Ba 0.000 0.937 0.500
Ba 0.500 0.437 0.500
Ba 0.500 0.563 0.000
Cd 0.000 0.321 0.118
Cd 0.000 0.679 0.618
Cd 0.500 0.179 0.618
Cd 0.500 0.821 0.118
Se 0.000 0.316 0.756
Se 0.000 0.684 0.256
Se 0.500 0.184 0.256
Se 0.500 0.816 0.756
O 0.000 0.088 0.670
O 0.000 0.912 0.170
O 0.500 0.412 0.170
O 0.500 0.588 0.670

=====

# 6
Computed, not measured: crystalline BaCdSeO at its relaxed geometry at the PBE level of DFT.

Summary:
The electronic total energy comes out at -4.357 eV per atom. The space group is Pbca (61).

a b c (Å): 7.669 7.745 13.584
angles (deg): 90.00 90.00 90.00
Atoms (fractional coordinates):
Ba 0.249 0.004 0.250
Ba 0.249 0.496 0.750
Ba 0.251 0.504 0.250
Ba 0.251 0.996 0.750
Ba 0.749 0.004 0.250
Ba 0.749 0.496 0.750
Ba 0.751 0.504 0.250
Ba 0.751 0.996 0.750
Cd 0.001 0.247 0.556
Cd 0.001 0.253 0.056
Cd 0.499 0.747 0.556
Cd 0.499 0.753 0.056
Cd 0.501 0.247 0.944
Cd 0.501 0.253 0.444
Cd 0.999 0.747 0.944
Cd 0.999 0.753 0.444
Se 0.249 0.029 0.000
Se 0.249 0.471 0.500
Se 0.251 0.529 0.000
Se 0.251 0.971 0.500
Se 0.749 0.029 0.500
Se 0.749 0.471 0.000
Se 0.751 0.529 0.500
Se 0.751 0.971 0.000
O 0.001 0.246 0.719
O 0.001 0.254 0.219
O 0.499 0.746 0.719
O 0.499 0.754 0.219
O 0.501 0.246 0.781
O 0.501 0.254 0.281
O 0.999 0.746 0.781
O 0.999 0.754 0.281

=====

# 7
Computed, not measured: crystalline BaCdSeO at its relaxed geometry at the PBE level of DFT.

Summary:
The electronic total energy comes out at -3.601 eV per atom. The space group is P4/nmm (129).

a b c (Å): 6.189 6.189 7.157
angles (deg): 90.00 90.00 90.00
Atoms (fractional coordinates):
Ba 0.250 0.750 0.000
Ba 0.750 0.250 0.000
Cd 0.250 0.250 0.316
Cd 0.750 0.750 0.684
Se 0.250 0.250 0.866
Se 0.750 0.750 0.134
O 0.250 0.250 0.609
O 0.750 0.750 0.391

=====

# 8
Computed, not measured: crystalline BaCdSeO at its relaxed geometry at the PBE level of DFT.

Summary:
The electronic total energy comes out at -4.431 eV per atom. The space group is Pnma (62).

a b c (Å): 6.611 4.334 14.835
angles (deg): 90.00 90.00 90.00
Atoms (fractional coordinates):
Ba 0.250 0.250 0.101
Ba 0.250 0.750 0.601
Ba 0.750 0.250 0.399
Ba 0.750 0.750 0.899
Cd 0.169 0.250 0.817
Cd 0.331 0.750 0.317
Cd 0.669 0.250 0.683
Cd 0.831 0.750 0.183
Se 0.247 0.250 0.420
Se 0.253 0.750 0.920
Se 0.747 0.250 0.080
Se 0.753 0.750 0.580
O 0.171 0.750 0.188
O 0.329 0.250 0.688
O 0.671 0.750 0.312
O 0.829 0.250 0.812

=====

# 9
Computed, not measured: crystalline BaCdSeO at its relaxed geometry at the PBE level of DFT.

Summary:
The electronic total energy comes out at -4.377 eV per atom. The space group is Pca2_1 (29).

a b c (Å): 7.644 7.723 7.303
angles (deg): 90.00 90.00 90.00
Atoms (fractional coordinates):
Ba 0.112 0.123 0.000
Ba 0.388 0.123 0.500
Ba 0.612 0.877 0.000
Ba 0.888 0.877 0.500
Cd 0.048 0.642 0.100
Cd 0.452 0.642 0.600
Cd 0.548 0.358 0.100
Cd 0.952 0.358 0.600
Se 0.132 0.616 0.748
Se 0.368 0.616 0.248
Se 0.632 0.384 0.748
Se 0.868 0.384 0.248
O 0.081 0.109 0.645
O 0.419 0.109 0.145
O 0.581 0.891 0.645
O 0.919 0.891 0.145

=====

# 10
Computed, not measured: crystalline BaCdSeO at its relaxed geometry at the PBE level of DFT.

Summary:
The electronic total energy comes out at -4.209 eV per atom. The space group is Pnma (62).

a b c (Å): 7.845 3.872 13.236
angles (deg): 90.00 90.00 90.00
Atoms (fractional coordinates):
Ba 0.050 0.250 0.218
Ba 0.450 0.750 0.718
Ba 0.550 0.250 0.282
Ba 0.950 0.750 0.782
Cd 0.185 0.750 0.451
Cd 0.315 0.250 0.951
Cd 0.685 0.750 0.049
Cd 0.815 0.250 0.549
Se 0.160 0.250 0.614
Se 0.340 0.750 0.114
Se 0.660 0.250 0.886
Se 0.840 0.750 0.386
O 0.237 0.750 0.870
O 0.263 0.250 0.370
O 0.737 0.750 0.630
O 0.763 0.250 0.130

=====

# 11
Computed, not measured: crystalline BaCdSeO at its relaxed geometry at the PBE level of DFT.

Summary:
The electronic total energy comes out at -3.998 eV per atom. The space group is Cmcm (63).

a b c (Å): 3.713 15.603 6.291
angles (deg): 90.00 90.00 90.00
Atoms (fractional coordinates):
Ba 0.000 0.139 0.250
Ba 0.000 0.861 0.750
Ba 0.500 0.361 0.750
Ba 0.500 0.639 0.250
Cd 0.000 0.439 0.250
Cd 0.000 0.561 0.750
Cd 0.500 0.061 0.750
Cd 0.500 0.939 0.250
Se 0.000 0.193 0.750
Se 0.000 0.807 0.250
Se 0.500 0.307 0.250
Se 0.500 0.693 0.750
O 0.000 0.000 0.000
O 0.000 0.000 0.500
O 0.500 0.500 0.000
O 0.500 0.500 0.500

=====

# 12
Computed, not measured: crystalline BaCdSeO at its relaxed geometry at the PBE level of DFT.

Summary:
The electronic total energy comes out at -4.351 eV per atom. The space group is Cmcm (63).

a b c (Å): 4.254 13.794 6.384
angles (deg): 90.00 90.00 90.00
Atoms (fractional coordinates):
Ba 0.000 0.095 0.250
Ba 0.000 0.905 0.750
Ba 0.500 0.405 0.750
Ba 0.500 0.595 0.250
Cd 0.000 0.388 0.250
Cd 0.000 0.612 0.750
Cd 0.500 0.112 0.750
Cd 0.500 0.888 0.250
Se 0.000 0.217 0.750
Se 0.000 0.783 0.250
Se 0.500 0.283 0.250
Se 0.500 0.717 0.750
O 0.000 0.500 0.000
O 0.000 0.500 0.500
O 0.500 0.000 0.000
O 0.500 0.000 0.500

=====

# 13
Computed, not measured: crystalline Ba2CdTeO6 at its relaxed geometry at the PBE level of DFT.

Summary:
The electronic total energy comes out at -5.663 eV per atom. The space group is Fm-3m (225).

a b c (Å): 5.933 5.933 5.933
angles (deg): 60.00 60.00 60.00
Atoms (fractional coordinates):
Ba 0.250 0.250 0.250
Ba 0.750 0.750 0.750
Cd 0.000 0.000 0.000
Te 0.500 0.500 0.500
O 0.268 0.268 0.732
O 0.268 0.732 0.268
O 0.268 0.732 0.732
O 0.732 0.268 0.268
O 0.732 0.268 0.732
O 0.732 0.732 0.268

=====

# 14
Computed, not measured: crystalline Ba2CdTeO6 at its relaxed geometry at the PBE level of DFT.

Summary:
The electronic total energy comes out at -5.663 eV per atom. The space group is I4/m (87).

a b c (Å): 5.929 5.929 5.929
angles (deg): 120.06 120.06 89.90
Atoms (fractional coordinates):
Ba 0.250 0.750 0.500
Ba 0.750 0.250 0.500
Cd 0.000 0.000 0.000
Te 0.500 0.500 0.000
O 0.253 0.284 0.537
O 0.268 0.268 0.000
O 0.284 0.747 0.031
O 0.716 0.253 0.969
O 0.732 0.732 0.000
O 0.747 0.716 0.463

=====

# 15
Computed, not measured: crystalline BaCdOs2 at its relaxed geometry at the PBE level of DFT.

Summary:
The electronic total energy comes out at -4.995 eV per atom. The space group is F-43m (216).

a b c (Å): 6.951 6.951 6.951
angles (deg): 90.00 90.00 90.00
Atoms (fractional coordinates):
Ba 0.000 0.000 0.000
Ba 0.000 0.500 0.500
Ba 0.500 0.000 0.500
Ba 0.500 0.500 0.000
Cd 0.250 0.250 0.250
Cd 0.250 0.750 0.750
Cd 0.750 0.250 0.750
Cd 0.750 0.750 0.250
Os 0.000 0.000 0.500
Os 0.000 0.500 0.000
Os 0.250 0.250 0.750
Os 0.250 0.750 0.250
Os 0.500 0.000 0.000
Os 0.500 0.500 0.500
Os 0.750 0.250 0.250
Os 0.750 0.750 0.750

=====

# 16
Computed, not measured: crystalline Ba2CdOsSe6 at its relaxed geometry at the PBE level of DFT.

Summary:
The electronic total energy comes out at -4.446 eV per atom. The space group is P-1 (2).

a b c (Å): 6.375 7.051 7.491
angles (deg): 71.02 65.82 63.94
Atoms (fractional coordinates):
Ba 0.243 0.278 0.233
Ba 0.757 0.722 0.767
Cd 0.000 0.000 0.000
Os 0.500 0.500 0.500
Se 0.177 0.770 0.342
Se 0.264 0.644 0.833
Se 0.314 0.218 0.660
Se 0.686 0.782 0.340
Se 0.736 0.356 0.167
Se 0.823 0.230 0.658

=====

# 17
Computed, not measured: crystalline BaCdP at its relaxed geometry at the PBE level of DFT.

Summary:
The electronic total energy comes out at -3.451 eV per atom. The space group is C2/m (12).

a b c (Å): 11.036 4.551 7.258
angles (deg): 90.00 100.43 90.00
Atoms (fractional coordinates):
Ba 0.120 0.000 0.299
Ba 0.380 0.500 0.701
Ba 0.620 0.500 0.299
Ba 0.880 0.000 0.701
Cd 0.119 0.500 0.933
Cd 0.381 0.000 0.067
Cd 0.619 0.000 0.933
Cd 0.881 0.500 0.067
P 0.180 0.000 0.760
P 0.320 0.500 0.240
P 0.680 0.500 0.760
P 0.820 0.000 0.240

=====

# 18
Computed, not measured: crystalline BaCdP2Pb at its relaxed geometry at the PBE level of DFT.

Summary:
The electronic total energy comes out at -3.921 eV per atom. The space group is Cmc2_1 (36).

a b c (Å): 8.855 8.855 7.377
angles (deg): 90.00 90.00 150.78
Atoms (fractional coordinates):
Ba 0.192 0.808 0.500
Ba 0.808 0.192 0.000
Cd 0.401 0.599 0.644
Cd 0.599 0.401 0.144
P 0.174 0.826 0.048
P 0.449 0.551 0.996
P 0.551 0.449 0.496
P 0.826 0.174 0.548
Pb 0.032 0.968 0.828
Pb 0.968 0.032 0.328

=====

# 19
Computed, not measured: crystalline BaCd2SbP at its relaxed geometry at the PBE level of DFT.

Summary:
The electronic total energy comes out at -3.191 eV per atom. The space group is P3m1 (156).

a b c (Å): 4.656 4.656 7.863
angles (deg): 90.00 90.00 120.00
Atoms (fractional coordinates):
Ba 0.000 0.000 0.000
Cd 0.333 0.667 0.663
Cd 0.667 0.333 0.404
Sb 0.333 0.667 0.282
P 0.667 0.333 0.755

=====

# 20
Computed, not measured: crystalline BaSrCdSbP at its relaxed geometry at the PBE level of DFT.

Summary:
For the energy relative to the lowest polymorph listed for this composition, the calculation gives 17.3 meV per atom. The electronic total energy comes out at -3.691 eV per atom. The space group is Cmc2_1 (36).

a b c (Å): 9.595 9.595 7.440
angles (deg): 90.00 90.00 152.06
Atoms (fractional coordinates):
Ba 0.189 0.811 0.500
Ba 0.811 0.189 0.000
Sr 0.022 0.978 0.209
Sr 0.978 0.022 0.709
Cd 0.409 0.591 0.362
Cd 0.591 0.409 0.862
Sb 0.170 0.830 0.974
Sb 0.830 0.170 0.474
P 0.446 0.554 0.999
P 0.554 0.446 0.499

=====

# 21
Computed, not measured: crystalline BaSrCdSbP at its relaxed geometry at the PBE level of DFT.

Summary:
For the energy relative to the lowest polymorph listed for this composition, the calculation gives 47.6 meV per atom. The electronic total energy comes out at -3.661 eV per atom. The space group is Cmc2_1 (36).

a b c (Å): 8.836 8.836 8.321
angles (deg): 90.00 90.00 149.71
Atoms (fractional coordinates):
Ba 0.044 0.956 0.500
Ba 0.956 0.044 0.000
Sr 0.218 0.782 0.879
Sr 0.782 0.218 0.379
Cd 0.400 0.600 0.659
Cd 0.600 0.400 0.159
Sb 0.427 0.573 0.303
Sb 0.573 0.427 0.803
P 0.176 0.824 0.237
P 0.824 0.176 0.737